DFT (PBE-GGA) results for a relaxed structure of PrY2Ho6Er.

Properties
Density   7.60 Mg/m³
Formation energy from the elements   125 meV/atom

a = 9.379 Å, b = 8.792 Å, c = 8.792 Å
α = 116.82°, β = 92.70°, γ = 92.70°
Positions (direct):
Ho 0.886 0.291 0.519
Ho 0.059 0.121 0.757
Ho 0.317 0.988 0.441
Ho 0.559 0.757 0.121
Ho 0.441 0.243 0.879
Ho 0.183 0.559 0.012
Ho 0.817 0.441 0.988
Ho 0.941 0.879 0.243
Ho 0.683 0.012 0.559
Ho 0.114 0.709 0.481
Ho 0.614 0.481 0.709
Ho 0.386 0.519 0.291
Er 0.750 0.589 0.411
Er 0.250 0.411 0.589
Pr 0.250 0.967 0.033
Pr 0.750 0.033 0.967
Y 0.449 0.797 0.695
Y 0.949 0.695 0.797
Y 0.551 0.203 0.305
Y 0.051 0.305 0.203